Record 1
This record from OQMD describes an optimized crystal structure of YScBeNi. The functional is PBE.

a = 6.388 Å, b = 6.388 Å, c = 6.388 Å
α = 90.00°, β = 90.00°, γ = 90.00°
Space group F-43m (No. 216)
One atom of each set of equivalent atoms:
Y 0.000 0.000 0.000
Sc 0.250 0.250 0.250
Be 0.000 0.000 0.500
Ni 0.250 0.250 0.750

## Properties
Excess energy over the best structure of this formula in the dataset ... 219.3 meV per atom

---

Record 2
This record from OQMD describes an optimized crystal structure of LuTaIr. The functional is PBE.

a = 6.403 Å, b = 6.403 Å, c = 6.403 Å
α = 90.00°, β = 90.00°, γ = 90.00°
Space group F-43m (No. 216)
One atom of each set of equivalent atoms:
Lu 0.000 0.000 0.000
Ta 0.000 0.000 0.500
Ir 0.250 0.250 0.250

## Properties
Excess energy over the best structure of this formula in the dataset ... 0.0 meV per atom

---

Record 3
This record from OQMD describes an optimized crystal structure of Cu2Ag3. The functional is PBE.

a = 6.930 Å, b = 2.853 Å, c = 8.005 Å
α = 90.00°, β = 101.26°, γ = 90.00°
Space group Pm (No. 6)
One atom of each set of equivalent atoms:
Cu 0.000 0.000 0.000
Cu 0.111 0.500 0.264
Cu 0.378 0.000 0.182
Cu 0.864 0.000 0.385
Ag 0.234 0.000 0.560
Ag 0.296 0.500 0.896
Ag 0.551 0.500 0.452
Ag 0.613 0.000 0.788
Ag 0.702 0.500 0.110
Ag 0.925 0.500 0.686

## Properties
Excess energy over the best structure of this formula in the dataset ... 39.6 meV per atom

---

Record 4
This record from OQMD describes an optimized crystal structure of CsTmZnSe3. The functional is PBE.

a = 4.132 Å, b = 16.284 Å, c = 10.879 Å
α = 90.00°, β = 90.00°, γ = 90.00°
Space group Cmcm (No. 63)
One atom of each set of equivalent atoms:
Cs 0.000 0.245 0.250
Tm 0.000 0.500 0.000
Zn 0.000 0.036 0.750
Se 0.000 0.114 0.557
Se 0.000 0.443 0.750

## Properties
Energy ... -4.262 eV per atom

---

Record 5
This record from OQMD describes an optimized crystal structure of AcGa6Pd. The functional is PBE.

a = 4.491 Å, b = 4.491 Å, c = 7.968 Å
α = 90.00°, β = 90.00°, γ = 90.00°
Space group P4/mmm (No. 123)
One atom of each set of equivalent atoms:
Ac 0.000 0.000 0.000
Ga 0.000 0.500 0.332
Ga 0.500 0.500 0.156
Pd 0.000 0.000 0.500

## Properties
Energy ... -3.950 eV per atom

---

Record 6
This record from OQMD describes an optimized crystal structure of AcZnGa. The functional is PBE.

a = 6.894 Å, b = 6.894 Å, c = 6.894 Å
α = 90.00°, β = 90.00°, γ = 90.00°
Space group F-43m (No. 216)
One atom of each set of equivalent atoms:
Ac 0.000 0.000 0.000
Zn 0.250 0.250 0.250
Ga 0.000 0.000 0.500

## Properties
Excess energy over the best structure of this formula in the dataset ... 0.0 meV per atom